First-principles (GGA-PBE) data for a relaxed Li3Cd5Cl12 crystal, as listed in the Alexandria database.

```
Li3Cd5Cl12
1.0
-8.134 8.134 8.134
8.134 -8.134 8.134
8.134 8.134 -8.134
Li Cd Cl
12 20 48
Direct
0.125 0.250 0.375
0.125 0.375 0.750
0.250 0.375 0.125
0.250 0.875 0.625
0.375 0.125 0.250
0.375 0.750 0.125
0.625 0.250 0.875
0.625 0.875 0.750
0.750 0.125 0.375
0.750 0.625 0.875
0.875 0.625 0.250
0.875 0.750 0.625
0.000 0.000 0.000
0.000 0.000 0.500
0.000 0.500 0.000
0.000 0.500 0.500
0.125 0.750 0.875
0.125 0.875 0.250
0.250 0.125 0.875
0.250 0.625 0.375
0.375 0.250 0.625
0.375 0.625 0.750
0.500 0.000 0.000
0.500 0.000 0.500
0.500 0.500 0.000
0.500 0.500 0.500
0.625 0.375 0.250
0.625 0.750 0.375
0.750 0.375 0.625
0.750 0.875 0.125
0.875 0.125 0.750
0.875 0.250 0.125
0.041 0.217 0.128
0.041 0.324 0.913
0.087 0.628 0.411
0.087 0.959 0.676
0.089 0.717 0.676
0.089 0.872 0.413
0.128 0.041 0.217
0.128 0.587 0.911
0.176 0.217 0.589
0.176 0.459 0.587
0.217 0.128 0.041
0.217 0.589 0.176
0.283 0.324 0.911
0.283 0.459 0.372
0.324 0.911 0.283
0.324 0.913 0.041
0.372 0.283 0.459
0.372 0.589 0.913
0.411 0.087 0.628
0.411 0.824 0.783
0.413 0.089 0.872
0.413 0.824 0.541
0.459 0.372 0.283
0.459 0.587 0.176
0.541 0.413 0.824
0.541 0.628 0.717
0.587 0.176 0.459
0.587 0.911 0.128
0.589 0.176 0.217
0.589 0.913 0.372
0.628 0.411 0.087
0.628 0.717 0.541
0.676 0.087 0.959
0.676 0.089 0.717
0.717 0.541 0.628
0.717 0.676 0.089
0.783 0.411 0.824
0.783 0.872 0.959
0.824 0.541 0.413
0.824 0.783 0.411
0.872 0.413 0.089
0.872 0.959 0.783
0.911 0.128 0.587
0.911 0.283 0.324
0.913 0.041 0.324
0.913 0.372 0.589
0.959 0.676 0.087
0.959 0.783 0.872
```

Values from the calculation:
The total moment is 0.00 Bohr magnetons per cell. For the energy, the calculation gives -2.74 eV/atom. The value obtained for the uncorrected formation energy is -1.1179 eV per atom.